[1]
5
Lattice="-3.867 -2.678 1.867 2.668 -4.260 -0.584 1.881 0.538 4.667" Properties=species:S:1:pos:R:3 comment="Na3CI GGA-PBE optimized geometry" de_polymorph_ev_per_fu=0.000 formation_energy_uncorrected_ev_per_atom=0.324 pbc="T T T"
Na 1.334 -2.130 -0.292
Na -1.934 -1.339 0.933
Na 0.940 0.269 2.334
I 0.341 -3.200 2.975
C 0.000 0.000 0.000

***

[2]
12
Lattice="5.928 0.000 0.000 0.000 6.166 0.000 0.000 0.000 8.742" Properties=species:S:1:pos:R:3 comment="Cd3HgPb2 GGA-PBE optimized geometry" de_polymorph_ev_per_fu=0.085 pbc="T T T"
Cd 1.482 4.626 6.438
Cd 1.482 1.539 6.438
Cd 4.446 4.626 2.304
Cd 2.964 0.000 0.000
Cd 4.446 1.539 2.304
Cd 0.000 0.000 0.000
Hg 1.482 3.083 3.886
Hg 4.446 3.083 4.856
Pb 4.446 0.000 5.566
Pb 1.482 0.000 3.176
Pb 1.482 3.083 0.794
Pb 4.446 3.083 7.948

***

[3]
9
Lattice="5.442 0.000 0.001 2.721 4.712 0.001 0.000 0.000 4.937" Properties=species:S:1:pos:R:3 comment="CePPbO6 GGA-PBE optimized geometry" formation_energy_uncorrected_ev_per_atom=-1.938 pbc="T T T"
Pb 2.720 4.713 4.938
O 3.466 2.786 1.484
O 3.400 0.318 1.484
O 1.296 1.609 1.484
O 1.975 2.786 3.454
O 4.145 1.609 3.454
O 2.041 0.318 3.454
P 2.720 1.571 2.469
Ce 5.441 3.142 2.469

***

[4]
10
Lattice="3.008 0.000 0.000 0.000 3.008 0.000 0.000 0.000 16.358" Properties=species:S:1:pos:R:3 comment="Ti5InNi4 GGA-PBE optimized geometry" energy_ev_per_atom=-6.839 pbc="T T T"
Ti 1.504 1.504 8.179
Ti 1.504 1.504 14.199
Ti 1.504 1.504 5.183
Ti 1.504 1.504 11.175
Ti 1.504 1.504 2.158
Ni 0.000 0.000 6.654
Ni 0.000 0.000 9.704
Ni 0.000 0.000 12.600
Ni 0.000 0.000 3.758
In 0.000 0.000 0.000

***

[5]
6
Lattice="-1.815 -2.747 0.267 0.540 -0.041 3.258 -9.141 6.194 1.593" Properties=species:S:1:pos:R:3 comment="Zr4AlTc GGA-PBE optimized geometry" de_polymorph_ev_per_fu=0.000 pbc="T T T"
Zr -1.954 -0.502 1.992
Zr -8.462 3.908 3.126
Zr -3.053 2.069 0.532
Zr -7.362 1.338 4.586
Tc 0.000 0.000 0.000
Al -5.208 1.703 2.559

***

[6]
8
Lattice="-0.948 3.644 -0.409 -1.420 0.025 3.511 5.685 3.932 4.315" Properties=species:S:1:pos:R:3 comment="Be2ZnGe GGA-PBE optimized geometry" de_polymorph_ev_per_fu=0.000 pbc="T T T"
Be 0.406 1.489 3.218
Be 2.206 6.159 5.916
Be 0.661 3.228 1.266
Be 3.362 4.325 4.433
Zn 1.540 2.896 4.688
Zn -1.184 1.834 1.551
Ge 0.000 0.000 0.000
Ge 1.777 4.705 2.728

***

[7]
5
Lattice="-4.876 -1.200 -0.380 0.449 -3.077 3.961 -1.176 3.801 3.086" Properties=species:S:1:pos:R:3 comment="Sc3TiPb GGA-PBE optimized geometry" de_polymorph_ev_per_fu=0.000 pbc="T T T"
Sc 0.224 -1.539 1.980
Sc -2.438 -0.600 -0.190
Sc -0.588 1.901 1.543
Pb -2.802 -0.238 3.334
Ti 0.000 0.000 0.000

***

[8]
5
Lattice="5.129 0.000 0.000 0.000 5.567 0.000 0.000 0.000 5.129" Properties=species:S:1:pos:R:3 comment="InHgOs2I GGA-PBE optimized geometry" formation_energy_uncorrected_ev_per_atom=2.136 pbc="T T T"
I 2.564 2.783 2.564
Hg 0.000 2.783 0.000
Os 0.000 0.000 2.564
Os 2.564 0.000 0.000
In 0.000 0.000 0.000